DFT (PBE-GGA) results for a geometry-optimized Ba2GaHgSe5 structure.

Cell and atoms, written as POSCAR:
```
Ba2GaHgSe5
1.0
4.225 0.000 0.000
-2.113 10.272 0.000
0.000 0.000 12.599
Se Ba Hg Ga
10 4 2 2
Cartesian
0.000 6.606 5.030
2.113 2.895 6.119
2.113 0.266 9.745
0.000 5.862 8.484
2.113 4.410 2.184
0.000 10.006 3.446
2.113 9.591 6.891
0.000 7.376 12.418
2.113 3.665 11.329
0.000 0.680 0.591
0.000 2.241 3.707
0.000 2.485 8.535
2.113 8.031 10.007
2.113 7.787 2.235
2.113 5.519 6.624
0.000 4.752 0.324
2.113 1.265 11.943
0.000 9.007 5.644
```

E = -33.96 eV per formula unit
formation energy from raw total energies = -1040.4 meV per atom

DFT (PBE-GGA) results for a geometry-optimized Ba2GaSn4Hg3 structure.

Cell and atoms, written as POSCAR:
```
Ba2GaSn4Hg3
1.0
5.018 0.000 0.000
0.000 5.018 0.000
0.000 0.000 11.917
Ba Hg Sn Ga
2 3 4 1
Cartesian
0.000 2.509 8.854
2.509 0.000 3.062
2.509 0.000 10.260
0.000 0.000 5.958
0.000 2.509 1.656
0.000 2.509 4.490
2.509 2.509 0.000
2.509 0.000 7.427
0.000 0.000 0.000
2.509 2.509 5.958
```

E = -27.64 eV per formula unit
formation enthalpy at 0 K = -385 meV per atom

DFT (PBE-GGA) results for a geometry-optimized Ba3GaSn6Hg2 structure.

Cell and atoms, written as POSCAR:
```
Ba3GaSn6Hg2
1.0
6.582 0.000 0.000
-3.291 5.700 0.000
0.000 0.000 10.531
Sn Ga Ba Hg
6 1 3 2
Cartesian
-1.633 4.743 2.980
3.291 3.786 7.551
0.000 1.914 2.980
1.633 4.743 2.980
4.924 0.957 7.551
1.658 0.957 7.551
0.000 0.000 5.266
3.291 1.900 4.294
0.000 0.000 0.000
0.000 3.800 6.238
0.000 3.800 9.968
3.291 1.900 0.564
```

E = -37.42 eV per formula unit
formation enthalpy at 0 K = -334 meV per atom

DFT (PBE-GGA) results for a geometry-optimized Ba2GaSnHg6 structure.

Cell and atoms, written as POSCAR:
```
Ba2GaSnHg6
1.0
6.319 0.000 0.000
0.000 10.279 0.000
0.000 0.000 9.539
Hg Ba Ga Sn
12 4 2 2
Cartesian
4.707 10.238 0.000
1.606 4.935 4.769
0.000 9.140 2.354
4.765 5.344 0.000
4.772 0.040 4.769
0.000 9.140 7.184
1.612 10.238 0.000
4.713 4.935 4.769
3.159 1.139 7.124
3.159 1.139 2.415
1.547 0.040 4.769
1.553 5.344 0.000
3.159 7.641 2.455
3.159 7.641 7.083
0.000 2.637 7.225
0.000 2.637 2.314
3.159 2.676 4.769
0.000 7.603 0.000
3.159 2.888 0.000
0.000 7.390 4.769
```

E = -15.45 eV per formula unit
formation enthalpy at 0 K = -277 meV per atom

DFT (PBE-GGA) results for a geometry-optimized Ba2GaSn2Hg4 structure.

Cell and atoms, written as POSCAR:
```
Ba2GaSn2Hg4
1.0
7.254 -0.055 -0.080
-3.530 6.337 0.080
-3.530 -2.152 5.961
Ba Hg Ga Sn
2 4 1 2
Cartesian
0.096 4.187 1.510
0.096 -0.057 4.451
-1.847 3.013 4.350
2.040 1.116 1.611
-3.530 0.174 4.350
-3.530 4.011 1.691
0.000 0.000 0.000
-2.085 1.236 1.783
-4.976 2.949 4.257
```

E = -19.33 eV per formula unit
formation enthalpy at 0 K = -360 meV per atom

DFT (PBE-GGA) results for a geometry-optimized BaTbGaHg structure.

Cell and atoms, written as POSCAR:
```
BaTbGaHg
1.0
5.539 0.000 0.000
2.770 4.797 0.000
2.770 1.599 4.523
Ba Tb Ga Hg
1 1 1 1
Cartesian
2.770 1.599 1.131
8.309 4.797 3.392
5.539 3.198 2.261
0.000 0.000 0.000
```

E = -11.17 eV per formula unit
formation enthalpy at 0 K = -323 meV per atom

Please write out number 6 again, unchanged.
DFT (PBE-GGA) results for a geometry-optimized BaTbGaHg structure.

Cell and atoms, written as POSCAR:
```
BaTbGaHg
1.0
5.539 0.000 0.000
2.770 4.797 0.000
2.770 1.599 4.523
Ba Tb Ga Hg
1 1 1 1
Cartesian
2.770 1.599 1.131
8.309 4.797 3.392
5.539 3.198 2.261
0.000 0.000 0.000
```

E = -11.17 eV per formula unit
formation enthalpy at 0 K = -323 meV per atom

Question: Which formula does entry 3 have?
Answer: Ba3GaSn6Hg2

Question: Among the records above, which one has the lowest E?
Answer: Ba3GaSn6Hg2